1.
First-principles (PBE-GGA) data for Fe2SbPS after structural relaxation, as listed in Alexandria via LeMat-Bulk.

For the calculated total energy, the calculation gives -5.526 eV per atom. The calculation puts the spin magnetization at 5.95 μB/cell.

Cell: 4.3224 4.3224 5.4458 Å, 90.00 90.00 90.00°
Closest atoms and distances in Å follow each position.
Space group P4/mmm (No. 123)
One atom of each set of equivalent atoms:
Fe1 0.0000 0.5000 0.0000  2 P 2.16
Sb1 0.0000 0.0000 0.5000  2 P 2.72
P1 0.0000 0.0000 0.0000  4 Fe 2.16
S1 0.5000 0.5000 0.5000  4 Sb 3.06

=====

2.
First-principles (PBE-GGA) data for FePSeS2 after structural relaxation, as listed in Alexandria via LeMat-Bulk.

For the calculated total energy, the calculation gives -4.617 eV per atom. The calculation puts the spin magnetization at 1.93 μB/cell.

Cell: 4.2954 4.2954 4.7576 Å, 90.00 90.00 90.00°
Closest atoms and distances in Å follow each position.
Space group P4/mmm (No. 123)
One atom of each set of equivalent atoms:
Fe1 0.0000 0.0000 0.0000  4 S 2.15, 2 P 2.38
P1 0.0000 0.0000 0.5000  2 Fe 2.38
Se1 0.5000 0.5000 0.5000  4 P 3.04, 8 S 3.20
S1 0.0000 0.5000 0.0000  2 Fe 2.15

=====

The uncorrected formation energy results, record by record, are as follows: 591; 506 meV per atom.